Compound: NaLi2Te2
Source: Alexandria
Functional: PBE-GGA
Structure: relaxed

Cell: 4.842 4.842 6.512 Å, 99.97 99.97 59.04°
Positions (direct):
Na: 0.000 0.000 0.000
Li: 0.283 0.283 0.669
Li: 0.717 0.717 0.331
Te: 0.372 0.372 0.264
Te: 0.628 0.628 0.736

The calculation puts the uncorrected formation energy at -0.808 eV per atom. The energy above the most stable polymorph in this dataset comes out at 2.5 kJ/mol of atoms. For the density of states at the Fermi level, the calculation gives 1.892 states/eV/cell. Its space group is C2/m, No. 12.